Record 1
Here is a geometry-optimized YTeRu2 structure from the Alexandria database. Energies are from PBE-GGA.

Geometry as CIF:
```
data_YTeRu2
_cell_length_a 8.920
_cell_length_b 3.333
_cell_length_c 5.339
_cell_angle_alpha 90.00
_cell_angle_beta 103.24
_cell_angle_gamma 90.00
_space_group_name_H-M_alt 'C 1 2/m 1'
_space_group_IT_number 12
loop_
_space_group_symop_operation_xyz
'x,y,z'
'-x,-y,-z'
'-x,y,-z'
'x,-y,z'
'x+1/2,y+1/2,z'
'-x+1/2,-y+1/2,-z'
'-x+1/2,y+1/2,-z'
'x+1/2,-y+1/2,z'
loop_
_atom_site_label
_atom_site_fract_x
_atom_site_fract_y
_atom_site_fract_z
_atom_site_occupancy
Y1 0.000 0.000 0.000 1
Te1 0.000 0.500 0.500 1
Ru1 0.245 0.000 0.714 1
```

Values from the calculation:
Density = 9.0 Mg/m³
Total magnetic moment = 0.0 Bohr magnetons per cell
E_tot = -0.519 Ry per atom
E_form (uncorrected) = -0.017 eV/atom

---

Record 2
Here is a geometry-optimized CsK2RbH structure from the Alexandria database. Energies are from PBE-GGA.

Geometry as CIF:
```
data_CsK2RbH
_cell_length_a 6.594
_cell_length_b 6.594
_cell_length_c 6.701
_cell_angle_alpha 90.00
_cell_angle_beta 90.00
_cell_angle_gamma 90.00
_space_group_name_H-M_alt 'P 4/m m m'
_space_group_IT_number 123
_space_group_name_Hall '-P 4 2'
loop_
_atom_site_label
_atom_site_fract_x
_atom_site_fract_y
_atom_site_fract_z
_atom_site_occupancy
Cs1 0.000 0.000 0.000 1
K1 0.000 0.500 0.500 1
Rb1 0.500 0.500 0.000 1
H1 0.500 0.500 0.500 1
```

Values from the calculation:
Density = 1.7 Mg/m³
Total magnetic moment = 0.7 Bohr magnetons per cell
E_tot = -0.101 Ry per atom
Relative energy among the computed polymorphs = 0.045 eV/atom

---

Record 3
Here is a geometry-optimized YBe2Os3 structure from the Alexandria database. Energies are from PBE-GGA.

Geometry as CIF:
```
data_YBe2Os3
_cell_length_a 7.145
_cell_length_b 8.956
_cell_length_c 5.464
_cell_angle_alpha 90.00
_cell_angle_beta 90.00
_cell_angle_gamma 90.00
_space_group_name_H-M_alt 'I m m a'
_space_group_IT_number 74
_space_group_name_Hall '-I 2b 2'
loop_
_atom_site_label
_atom_site_fract_x
_atom_site_fract_y
_atom_site_fract_z
_atom_site_occupancy
Y1 0.000 0.250 0.246 1
Be1 0.000 0.074 0.810 1
Os1 0.218 0.000 0.500 1
Os2 0.250 0.250 0.750 1
```

Values from the calculation:
Density = 12.9 Mg/m³
Total magnetic moment = 0.0 Bohr magnetons per cell
E_tot = -0.595 Ry per atom

---

Record 4
Here is a geometry-optimized Nd2Al4ZnGa3 structure from the Alexandria database. Energies are from PBE-GGA.

Geometry as CIF:
```
data_Nd2Al4ZnGa3
_cell_length_a 4.297
_cell_length_b 4.297
_cell_length_c 10.832
_cell_angle_alpha 90.00
_cell_angle_beta 90.00
_cell_angle_gamma 90.00
_space_group_name_H-M_alt 'P -4 m 2'
_space_group_IT_number 115
loop_
_space_group_symop_operation_xyz
'x,y,z'
'y,-x,-z'
'-x,-y,z'
'-y,x,-z'
'-x,y,z'
'-y,-x,-z'
'x,-y,z'
'y,x,-z'
loop_
_atom_site_label
_atom_site_fract_x
_atom_site_fract_y
_atom_site_fract_z
_atom_site_occupancy
Nd1 0.000 0.500 0.245 1
Al1 0.000 0.000 0.500 1
Al2 0.000 0.500 0.869 1
Al3 0.500 0.500 0.500 1
Zn1 0.500 0.500 0.000 1
Ga1 0.000 0.000 0.000 1
Ga2 0.000 0.500 0.639 1
```

Values from the calculation:
Density = 5.6 Mg/m³
Total magnetic moment = 0.0 Bohr magnetons per cell
E_tot = -0.286 Ry per atom

---

Record 5
Here is a geometry-optimized Sm3Ho8Th2 structure from the Alexandria database. Energies are from PBE-GGA.

Geometry as CIF:
```
data_Sm3Ho8Th2
_cell_length_a 6.774
_cell_length_b 8.613
_cell_length_c 14.832
_cell_angle_alpha 87.36
_cell_angle_beta 84.94
_cell_angle_gamma 76.80
_space_group_name_H-M_alt 'P -1'
_space_group_IT_number 2
loop_
_space_group_symop_operation_xyz
'x,y,z'
'-x,-y,-z'
loop_
_atom_site_label
_atom_site_fract_x
_atom_site_fract_y
_atom_site_fract_z
_atom_site_occupancy
Sm1 0.000 0.000 0.000 1
Sm2 0.091 0.549 0.357 1
Sm3 0.401 0.950 0.145 1
Sm4 0.500 0.500 0.500 1
Ho1 0.052 0.306 0.173 1
Ho2 0.090 0.784 0.609 1
Ho3 0.121 0.081 0.773 1
Ho4 0.250 0.625 0.113 1
Ho5 0.250 0.872 0.384 1
Ho6 0.280 0.133 0.549 1
Ho7 0.389 0.421 0.728 1
Ho8 0.407 0.719 0.892 1
Th1 0.217 0.361 0.949 1
Th2 0.442 0.196 0.325 1
```

Values from the calculation:
Density = 8.8 Mg/m³
Total magnetic moment = 0.0 Bohr magnetons per cell
E_tot = -0.365 Ry per atom
Relative energy among the computed polymorphs = 0.000 eV/atom

---

Record 6
Here is a geometry-optimized NdNi2B structure from the Alexandria database. Energies are from PBE-GGA.

Geometry as CIF:
```
data_NdNi2B
_cell_length_a 3.6928
_cell_length_b 3.6928
_cell_length_c 14.9701
_cell_angle_alpha 90.00
_cell_angle_beta 90.00
_cell_angle_gamma 120.00
_space_group_name_H-M_alt 'R -3 m'
_space_group_IT_number 166
_space_group_name_Hall '-R 3 2"'
loop_
_atom_site_label
_atom_site_fract_x
_atom_site_fract_y
_atom_site_fract_z
_atom_site_occupancy
Nd1 0.0000 0.0000 0.0000 1
Ni1 0.0000 0.0000 0.1988 1
B1 0.0000 0.0000 0.5000 1
```

Values from the calculation:
Density = 7.7 Mg/m³
Total magnetic moment = 0.0 Bohr magnetons per cell
E_tot = -0.441 Ry per atom

---

Record 7
Here is a geometry-optimized PrZn3Au structure from the Alexandria database. Energies are from PBE-GGA.

Geometry as CIF:
```
data_PrZn3Au
_cell_length_a 5.910
_cell_length_b 11.461
_cell_length_c 5.980
_cell_angle_alpha 90.00
_cell_angle_beta 90.00
_cell_angle_gamma 90.00
_space_group_name_H-M_alt 'C m c m'
_space_group_IT_number 63
_space_group_name_Hall '-C 2c 2'
loop_
_atom_site_label
_atom_site_fract_x
_atom_site_fract_y
_atom_site_fract_z
_atom_site_occupancy
Pr1 0.000 0.250 0.250 1
Zn1 0.000 0.129 0.750 1
Zn2 0.249 0.500 0.000 1
Au1 0.000 0.355 0.750 1
```

Values from the calculation:
Density = 8.8 Mg/m³
Total magnetic moment = 0.0 Bohr magnetons per cell
E_tot = -0.206 Ry per atom
Relative energy among the computed polymorphs = 0.000 eV/atom

---

Record 8
Here is a geometry-optimized MgAgRu structure from the Alexandria database. Energies are from PBE-GGA.

Geometry as CIF:
```
data_MgAgRu
_cell_length_a 6.237
_cell_length_b 6.237
_cell_length_c 6.237
_cell_angle_alpha 90.00
_cell_angle_beta 90.00
_cell_angle_gamma 90.00
_space_group_name_H-M_alt 'F -4 3 m'
_space_group_IT_number 216
_space_group_name_Hall 'F -4 2 3'
loop_
_atom_site_label
_atom_site_fract_x
_atom_site_fract_y
_atom_site_fract_z
_atom_site_occupancy
Mg1 0.000 0.000 0.000 1
Ag1 0.000 0.000 0.500 1
Ru1 0.250 0.250 0.750 1
```

Values from the calculation:
Density = 6.4 Mg/m³
Total magnetic moment = 5.2 Bohr magnetons per cell
E_tot = -0.283 Ry per atom
Relative energy among the computed polymorphs = 0.649 eV/atom

---

Q: Among the records above, which one has the highest density?
A: YBe2Os3